No. 1
LaCu3O | GGA-PBE | relaxed

a = 4.3372 Å, b = 4.3372 Å, c = 4.3372 Å
α = 90.00°, β = 90.00°, γ = 90.00°
Closest atoms and distances in Å follow each position.
Fractional coordinates of all 5 atoms:
La (0.0000, 0.0000, 0.0000)  12 Cu 3.07
Cu (0.0000, 0.5000, 0.5000)  2 O 2.17
Cu (0.5000, 0.0000, 0.5000)  2 O 2.17
Cu (0.5000, 0.5000, 0.0000)  2 O 2.17
O (0.5000, 0.5000, 0.5000)  6 Cu 2.17

Summary:
Distance to the lowest polymorph of the same formula   0.0000 eV per atom
E_form (uncorrected)   26 meV per atom
Total DFT energy (no corrections)   -22.0 eV/cell



No. 2
La3Pm5Pr4 | GGA-PBE | relaxed

a = 6.4032 Å, b = 7.3811 Å, c = 9.0763 Å
α = 90.00°, β = 89.94°, γ = 89.92°
Closest atoms and distances in Å follow each position.
Fractional coordinates of all 12 atoms:
La (0.0000, 0.0000, 0.0000)  8 Pm 3.69-3.70, 2 La 3.69, 2 Pr 3.70
La (0.1671, 0.2492, 0.3318)  6 Pr 3.68-3.72, 5 Pm 3.68-3.72, 1 La 3.69
La (0.8329, 0.7508, 0.6682)  6 Pr 3.68-3.72, 5 Pm 3.68-3.72, 1 La 3.69
Pm (0.0000, 0.5000, 0.0000)  4 Pr 3.69-3.70, 4 Pm 3.69-3.70, 4 La 3.69
Pm (0.3343, 0.0002, 0.6678)  5 Pr 3.68-3.71, 4 La 3.68-3.72, 3 Pm 3.69-3.71
Pm (0.4987, 0.7499, 0.9999)  3 La 3.69-3.70, 3 Pr 3.69-3.70, 6 Pm 3.69-3.70
Pm (0.5013, 0.2501, 0.0001)  3 La 3.69-3.70, 3 Pr 3.69-3.70, 6 Pm 3.69-3.70
Pm (0.6657, 0.9998, 0.3322)  5 Pr 3.68-3.71, 4 La 3.68-3.72, 3 Pm 3.69-3.71
Pr (0.1679, 0.7509, 0.3328)  4 La 3.68-3.72, 5 Pm 3.68-3.71, 3 Pr 3.70-3.71
Pr (0.3321, 0.5000, 0.6680)  5 Pm 3.69-3.70, 3 La 3.69-3.72, 4 Pr 3.70-3.73
Pr (0.6679, 0.5000, 0.3320)  5 Pm 3.69-3.70, 3 La 3.69-3.72, 4 Pr 3.70-3.73
Pr (0.8321, 0.2491, 0.6672)  4 La 3.68-3.72, 5 Pm 3.68-3.71, 3 Pr 3.70-3.71

Summary:
Distance to the lowest polymorph of the same formula   0.0000 eV per atom
Total DFT energy (no corrections)   -57.5 eV/cell
ΔH_f (0 K)   0.01 eV per atom



No. 3
CrCd8 | GGA-PBE | relaxed

a = 6.9796 Å, b = 6.9796 Å, c = 6.9796 Å
α = 95.60°, β = 95.60°, γ = 143.58°
Closest atoms and distances in Å follow each position.
Fractional coordinates of all 9 atoms:
Cr (0.0000, 0.0000, 0.0000)  12 Cd 3.07-3.08
Cd (0.0000, 0.3289, 0.3289)  1 Cr 3.08, 11 Cd 3.08-3.21
Cd (0.0000, 0.6711, 0.6711)  1 Cr 3.08, 11 Cd 3.08-3.21
Cd (0.3289, 0.0000, 0.3289)  1 Cr 3.08, 11 Cd 3.08-3.21
Cd (0.3374, 0.3374, 0.6749)  10 Cd 3.05-3.18, 2 Cr 3.07
Cd (0.3374, 0.6626, 0.0000)  10 Cd 3.05-3.18, 2 Cr 3.07
Cd (0.6626, 0.3374, 0.0000)  10 Cd 3.05-3.18, 2 Cr 3.07
Cd (0.6626, 0.6626, 0.3251)  10 Cd 3.05-3.18, 2 Cr 3.07
Cd (0.6711, 0.0000, 0.6711)  1 Cr 3.08, 11 Cd 3.08-3.21

Summary:
Total DFT energy (no corrections)   -15.9 eV/cell
ΔH_f (0 K)   0.11 eV per atom



No. 4
AcScAuO4 | GGA-PBE | relaxed

a = 5.8405 Å, b = 5.8405 Å, c = 6.7708 Å
α = 90.00°, β = 90.00°, γ = 90.00°
Closest atoms and distances in Å follow each position.
Fractional coordinates of all 14 atoms:
Ac (0.0000, 0.0000, 0.0000)  8 O 2.61-2.88
Ac (0.5000, 0.5000, 0.5000)  8 O 2.61-2.88
Sc (0.0000, 0.0000, 0.5000)  4 O 2.02
Sc (0.5000, 0.5000, 0.0000)  4 O 2.02
Au (0.0000, 0.5000, 0.7500)  4 O 2.16
Au (0.5000, 0.0000, 0.2500)  4 O 2.16
O (0.1868, 0.1891, 0.6904)  1 Sc 2.02, 1 Au 2.16
O (0.1891, 0.8132, 0.3096)  1 Sc 2.02, 1 Au 2.16
O (0.3109, 0.6868, 0.8096)  1 Sc 2.02, 1 Au 2.16
O (0.3132, 0.3109, 0.1904)  1 Sc 2.02, 1 Au 2.16
O (0.6868, 0.6891, 0.1904)  1 Sc 2.02, 1 Au 2.16
O (0.6891, 0.3132, 0.8096)  1 Sc 2.02, 1 Au 2.16
O (0.8109, 0.1868, 0.3096)  1 Sc 2.02, 1 Au 2.16
O (0.8132, 0.8109, 0.6904)  1 Sc 2.02, 1 Au 2.16

Summary:
E_form (uncorrected)   -2230 meV per atom
Total DFT energy (no corrections)   -98.3 eV/cell